# HoTmPO PBE relaxed
# DFT total energy in eV per atom: -6.883
# Total magnetization in μB/f.u.: 0.01
# Calculated density in kg/m³: 7373
data_HoTmPO
_space_group_name_H-M_alt 'P m c 21'
_space_group_IT_number 26
_cell_length_a 4.112
_cell_length_b 7.388
_cell_length_c 5.646
_cell_angle_alpha 90.00
_cell_angle_beta 90.00
_cell_angle_gamma 90.00
loop_
_space_group_symop_operation_xyz
'x,y,z'
'-x,-y,z+1/2'
'-x,y,z'
'x,-y,z+1/2'
loop_
_atom_site_label
_atom_site_type_symbol
_atom_site_fract_x
_atom_site_fract_y
_atom_site_fract_z
_atom_site_occupancy
Ho1 Ho 0.000 0.204 0.000 1
Tm1 Tm 0.500 0.379 0.560 1
P1 P 0.000 0.163 0.495 1
O1 O 0.500 0.331 0.945 1